8
Lattice="-3.738 3.738 3.502 3.738 -3.738 3.502 3.738 3.738 -3.502" Properties=species:S:1:pos:R:3 comment="PBE Na2LiSnSe4, relaxed" dos_at_fermi_per_ev_atom=0.959 mass_density_g_cm3=4.135 e_tot_ev_per_cell=-28.2 crystal_system=tetragonal e_form_raw_ev_per_atom=-0.7166 pbc="T T T"
Na 3.738 0.000 0.000
Na 0.000 3.738 0.000
Li 0.000 0.000 0.000
Sn 0.000 0.000 3.502
Se 1.414 -1.414 1.892
Se -1.414 1.414 1.892
Se 2.324 2.324 1.611
Se 1.414 1.414 5.113

6
Lattice="3.295 0.000 0.000 0.000 3.295 0.000 0.000 0.000 10.721" Properties=species:S:1:pos:R:3 comment="PBE Zr3NbPd2, relaxed" delta_e_f_ev_per_atom=-0.399 dos_at_fermi_per_ev_atom=1.061 mass_density_g_cm3=8.266 e_tot_ev_per_cell=-48.5 crystal_system=tetragonal pbc="T T T"
Zr 0.000 0.000 0.000
Zr 0.000 0.000 3.563
Zr 0.000 0.000 7.158
Nb 1.647 1.647 5.360
Pd 1.647 1.647 1.824
Pd 1.647 1.647 8.897

5
Lattice="7.033 0.000 0.000 0.000 7.033 0.000 0.000 0.000 4.917" Properties=species:S:1:pos:R:3 comment="PBE Cs2KGaPt, relaxed" delta_e_f_ev_per_atom=-0.072 dos_at_fermi_per_ev_atom=0.621 mass_density_g_cm3=3.889 e_tot_ev_per_cell=-12.2 crystal_system=tetragonal pbc="T T T"
Cs 0.000 3.517 0.000
Cs 3.517 0.000 0.000
K 0.000 0.000 2.458
Ga 3.517 3.517 2.458
Pt 3.517 3.517 0.000

5
Lattice="6.601 0.000 0.000 0.000 6.601 0.000 0.000 0.000 3.752" Properties=species:S:1:pos:R:3 comment="PBE Ba2ScVH, relaxed" dos_at_fermi_per_ev_atom=1.669 mass_density_g_cm3=3.773 e_tot_ev_per_cell=-18.6 crystal_system=tetragonal pbc="T T T"
Ba 0.000 3.301 0.000
Ba 3.301 0.000 0.000
Sc 0.000 0.000 0.000
V 3.301 3.301 1.876
H 0.000 0.000 1.876

5
Lattice="3.878 0.000 0.000 0.000 3.878 0.000 0.000 0.000 3.878" Properties=species:S:1:pos:R:3 comment="PBE ReMoN3, relaxed" dos_at_fermi_per_ev_atom=0.983 mass_density_g_cm3=9.231 e_tot_ev_per_cell=-40.8 crystal_system=cubic e_form_raw_ev_per_atom=1.4855 pbc="T T T"
Re 0.000 0.000 0.000
Mo 1.939 1.939 1.939
N 0.000 1.939 1.939
N 1.939 0.000 1.939
N 1.939 1.939 0.000

5
Lattice="5.930 0.000 0.000 0.000 5.930 0.000 0.000 0.000 5.930" Properties=species:S:1:pos:R:3 comment="PBE Ca3NiPb, relaxed" delta_e_f_ev_per_atom=0.435 dos_at_fermi_per_ev_atom=3.562 mass_density_g_cm3=3.075 e_tot_ev_per_cell=-13.3 crystal_system=cubic de_polymorph_mev_per_atom=626 pbc="T T T"
Ca 0.000 0.000 2.965
Ca 0.000 2.965 0.000
Ca 2.965 0.000 0.000
Ni 2.965 2.965 2.965
Pb 0.000 0.000 0.000